The following is a DFT calculation (PBE with a Hubbard U) of Y2MnBiF after structural relaxation.

Unit cell a=5.0011 b=4.5897 c=5.0011 alpha=90.00 beta=90.00 gamma=90.00
With the nearest neighbours (Å) after each atom.
Sites, in units of the cell vectors:
F 0.0000 0.0000 0.0000  2 Mn 2.29, 4 Y 2.50
Bi 0.5000 0.5000 0.5000  8 Y 3.39, 4 Mn 3.54
Y 0.5000 0.0000 0.0000  2 F 2.50
Y 0.0000 0.0000 0.5000  2 F 2.50
Mn 0.0000 0.5000 0.0000  2 F 2.29

Properties
- final energy (eV/atom) = -6.050
- size of the total moment (μB per atom) = 0.750
- volume (Å³/f.u.) = 114.8



The following is a DFT calculation (PBE with a Hubbard U) of MnZnBiF6 after structural relaxation.

Unit cell a=5.7788 b=5.7788 c=9.0521 alpha=90.00 beta=90.00 gamma=120.00
With the nearest neighbours (Å) after each atom.
Sites, in units of the cell vectors:
Bi 0.0000 0.0000 0.0000  6 F 2.45
F 0.9909 0.6218 0.3725  1 Zn 2.10, 1 Mn 2.17
F 0.6218 0.6309 0.6275  1 Zn 2.10, 1 Mn 2.17
F 0.3782 0.0091 0.1275  1 Zn 2.10, 1 Mn 2.17
F 0.0091 0.6309 0.8725  1 Zn 2.10, 1 Mn 2.17
F 0.6309 0.0091 0.3725  1 Zn 2.10, 1 Mn 2.17
Mn 0.3333 0.6667 0.2500  6 F 2.17
F 0.9909 0.3691 0.1275  1 Zn 2.10, 1 Mn 2.17
Mn 0.6667 0.3333 0.7500  6 F 2.17
Zn 0.6667 0.3333 0.2500  6 F 2.10
Bi 0.0000 0.0000 0.5000  6 F 2.45
F 0.6218 0.9909 0.8725  1 Zn 2.10, 1 Mn 2.17
F 0.3782 0.3691 0.3725  1 Zn 2.10, 1 Mn 2.17
F 0.6309 0.6218 0.1275  1 Zn 2.10, 1 Mn 2.17
Zn 0.3333 0.6667 0.7500  6 F 2.10
F 0.0091 0.3782 0.6275  1 Zn 2.10, 1 Mn 2.17
F 0.3691 0.9909 0.6275  1 Zn 2.10, 1 Mn 2.17
F 0.3691 0.3782 0.8725  1 Zn 2.10, 1 Mn 2.17

Properties
- final energy (eV/atom) = -4.851
- size of the total moment (μB per atom) = 0.556
- volume (Å³/f.u.) = 130.9



The following is a DFT calculation (PBE with a Hubbard U) of Bi2MoF11 after structural relaxation.

Unit cell a=8.3114 b=8.5128 c=8.5128 alpha=75.73 beta=60.78 gamma=60.78
With the nearest neighbours (Å) after each atom.
Sites, in units of the cell vectors:
F 0.7395 0.6879 0.0064  1 Mo 2.08, 1 Bi 2.32
Bi 0.8641 0.1865 0.8135  5 F 2.21-2.32
F 0.1302 0.2134 0.7866  2 Bi 2.21-2.23
F 0.5661 0.0064 0.6879  1 Mo 2.08, 1 Bi 2.32
F 0.3698 0.7134 0.2866  2 Bi 2.21-2.23
F 0.6302 0.2866 0.7134  2 Bi 2.21-2.23
F 0.7605 0.4936 0.8121  1 Mo 2.08, 1 Bi 2.32
F 0.5000 0.5000 0.5000  2 Bi 2.25, 2 F 2.48
F 0.4339 0.9936 0.3121  1 Mo 2.08, 1 Bi 2.32
F 0.0413 0.5846 0.7067  1 Mo 2.01
Bi 0.3641 0.3135 0.6865  5 F 2.21-2.32
F 0.4588 0.7933 0.9154  1 Mo 2.01
Bi 0.6359 0.6865 0.3135  5 F 2.21-2.32
F 0.0661 0.1879 0.5064  1 Mo 2.08, 1 Bi 2.32
Mo 0.7500 0.7500 0.7500  8 F 2.01-2.08
F 0.9339 0.8121 0.4936  1 Mo 2.08, 1 Bi 2.32
F 0.2605 0.3121 0.9936  1 Mo 2.08, 1 Bi 2.32
Mo 0.2500 0.2500 0.2500  8 F 2.01-2.08
F 0.9587 0.4154 0.2933  1 Mo 2.01
F 0.8325 0.9154 0.7933  1 Mo 2.01
Bi 0.1359 0.8135 0.1865  5 F 2.21-2.32
F 0.6675 0.7067 0.5846  1 Mo 2.01
F 0.3325 0.2933 0.4154  1 Mo 2.01
F 0.0000 0.0000 0.0000  2 Bi 2.25, 2 F 2.48
F 0.8698 0.7866 0.2134  2 Bi 2.21-2.23
F 0.2395 0.5064 0.1879  1 Mo 2.08, 1 Bi 2.32
F 0.5412 0.2067 0.0846  1 Mo 2.01
F 0.1675 0.0846 0.2067  1 Mo 2.01

Properties
- final energy (eV/atom) = -4.864
- size of the total moment (μB per atom) = 0.071
- volume (Å³/f.u.) = 229.4